[1]
4
Lattice="3.722 0.000 0.000 0.000 3.722 0.000 -1.861 -1.861 3.735" Properties=species:S:1:pos:R:3 comment="CoMoRu2 (SCAN, single point on PBEsol structure)" m_tot_mub_per_fu=0.00 formation_enthalpy_0k_ev_per_atom=0.12 density_g_cm3=11.46 pbc="T T T"
Ru 1.861 1.861 0.000
Ru 0.000 1.861 1.867
Mo 1.861 0.000 1.867
Co 0.000 0.000 0.000



[2]
5
Lattice="-1.683 -1.374 4.334 -3.989 -1.771 -2.110 2.650 -5.223 -0.626" Properties=species:S:1:pos:R:3 comment="TiInSiCl2 (SCAN, single point on PBEsol structure)" m_tot_mub_per_fu=0.55 raw_formation_energy_ev_per_atom=0.696 density_g_cm3=3.14 pbc="T T T"
Cl -1.995 -0.886 -1.055
Cl -0.841 -0.687 2.167
Si -1.511 -4.184 0.799
Ti 1.325 -2.611 -0.313
In 0.000 0.000 0.000